Record 1
Compound: CdSbOs2
Source: Alexandria via LeMat-Bulk
Functional: PBE
Structure: relaxed

Cell lengths 3.217, 3.217, 6.633 Å; angles 90.00, 90.00, 90.00 degrees
Positions (direct):
1 Cd 0.000 0.000 0.000
2 Sb 0.000 0.000 0.500
3 Os 0.500 0.500 0.271
4 Os 0.500 0.500 0.729

Formation energy from raw total energies in eV per atom: 0.66
Total magnetic moment in μB/cell: 0.0
Polymorph energy (0 for the lowest one) in eV/atom: 0.331
Theoretical density in g/cm³: 14.87


Record 2
Compound: HgRu2Pt
Source: Alexandria via LeMat-Bulk
Functional: PBE
Structure: relaxed

Cell lengths 3.959, 3.959, 4.083 Å; angles 90.00, 90.00, 90.00 degrees
Positions (direct):
1 Hg 0.000 0.000 0.000
2 Ru 0.000 0.500 0.500
3 Ru 0.500 0.000 0.500
4 Pt 0.500 0.500 0.000

ΔE_f in eV per formula unit: 1.92
Total magnetic moment in μB/cell: 1.4
Theoretical density in g/cm³: 15.51